Record 1
SrTaO3 PBE-GGA relaxed; crystal system = orthorhombic; mass density = 7.7 g/cm3; raw total energy = -168.55 eV for the cell shown; total magnetization = 0.00 μB per formula unit; volume = 271.4 Å³ per cell
1.0
2.0677 3.6961 -3.9932
-3.7603 1.8437 4.0427
7.0763 2.1117 5.6188
O Sr Ta
12 4 4
Cartesian
3.8361 5.5763 5.1097 O
4.1287 2.8268 4.6880 O
2.5111 3.7339 6.9276 O
2.8728 3.9176 -1.2592 O
0.7534 4.6750 0.5820 O
-0.7031 2.3015 0.0206 O
2.5488 4.2942 2.8384 O
1.2354 2.4162 4.7055 O
-2.3773 3.2298 2.2729 O
4.6780 3.5016 0.9474 O
2.0495 2.2249 0.9571 O
7.2315 6.1553 3.4110 O
0.0865 3.0320 2.5827 Sr
3.4846 1.2314 2.8110 Sr
-1.6389 5.3643 0.0480 Sr
5.2973 4.6195 3.0857 Sr
4.4897 4.0607 6.3436 Ta
2.7695 4.1505 0.8140 Ta
2.4561 4.0186 4.8590 Ta
1.0522 3.0732 -0.6798 Ta

=====

Record 2
HoMgFe PBE-GGA relaxed; crystal system = cubic; mass density = 6.0 g/cm3; raw total energy = -13.23 eV for the cell shown; total magnetization = 1.41 μB per formula unit; volume = 67.5 Å³ per cell
1.0
-1.2515 -4.2759 -1.0144
-4.2984 -0.8808 -1.2752
-0.9092 -1.1485 -4.3282
Fe Mg Ho
1 1 1
Cartesian
0.0000 0.0000 0.0000 Fe
-4.8444 -4.7289 -4.9634 Mg
-1.6148 -1.5763 -1.6545 Ho

=====

Record 3
SmY4Ag5 PBE-GGA relaxed; crystal system = tetragonal; mass density = 7.2 g/cm3; total magnetization = 0.01 μB per formula unit; volume = 242.1 Å³ per cell; formation enthalpy at 0 K = -0.3315 eV/atom
1.0
-3.1057 0.4568 -1.8286
-0.1990 -3.5843 -0.5574
-9.4626 -1.8999 15.5965
Y Ag Sm
4 5 1
Cartesian
-3.7924 -0.7615 6.2507 Y
-7.5455 -1.5150 12.4368 Y
-1.9170 -0.3849 3.1597 Y
-5.6702 -1.1385 9.3458 Y
-6.3836 -2.5137 6.6053 Ag
-10.1218 -3.2643 12.7666 Ag
-2.6455 -1.7632 0.4439 Ag
-8.2609 -2.8907 9.6994 Ag
-4.5063 -2.1368 3.5111 Ag
0.0000 0.0000 0.0000 Sm

=====

Record 4
AgF4 PBE-GGA relaxed; offset from the most stable computed form = 0 meV/atom; crystal system = monoclinic; mass density = 6.3 g/cm3; volume = 48.6 Å³ per cell
1.0
3.2296 -2.0773 0.0000
3.2296 2.0773 0.0000
-2.8732 0.0000 3.6192
F Ag
4 1
Cartesian
2.8795 0.0000 1.9008 F
5.1283 0.0000 0.5352 F
-1.5423 0.0000 3.0840 F
0.7064 0.0000 1.7184 F
3.2296 0.0000 0.0000 Ag

=====

Record 5
YCoSbOs PBE-GGA relaxed; offset from the most stable computed form = 0 meV/atom; crystal system = cubic; mass density = 10.9 g/cm3; total magnetization = 1.00 μB per formula unit; volume = 70.2 Å³ per cell
1.0
0.0000 3.2748 3.2748
3.2748 0.0000 3.2748
3.2748 3.2748 0.0000
Co Y Os Sb
1 1 1 1
Cartesian
4.9121 4.9121 4.9121 Co
3.2748 3.2748 3.2748 Y
1.6374 1.6374 1.6374 Os
0.0000 0.0000 0.0000 Sb

=====

Record 6
LuAlCoCu PBE-GGA relaxed; offset from the most stable computed form = 0 meV/atom; crystal system = cubic; mass density = 8.8 g/cm3; total magnetization = 0.30 μB per formula unit; volume = 60.9 Å³ per cell
1.0
0.0000 3.1225 3.1225
3.1225 0.0000 3.1225
3.1225 3.1225 0.0000
Lu Cu Co Al
1 1 1 1
Cartesian
3.1225 3.1225 3.1225 Lu
1.5612 1.5612 1.5612 Cu
4.6837 4.6837 4.6837 Co
0.0000 0.0000 0.0000 Al

=====

Record 7
GdDyTlNi2 PBE-GGA relaxed; crystal system = orthorhombic; mass density = 10.2 g/cm3; raw total energy = -25.11 eV for the cell shown; total magnetization = 0.00 μB per formula unit; volume = 104.0 Å³ per cell
1.0
3.6890 0.0000 0.0000
0.0000 1.9427 7.2578
0.0000 -1.9427 7.2578
Ni Dy Gd Tl
2 1 1 1
Cartesian
1.8445 0.0000 2.9122 Ni
1.8445 0.0000 11.6058 Ni
0.0000 0.0000 5.2294 Dy
0.0000 0.0000 9.2853 Gd
1.8445 0.0000 14.5139 Tl

=====

Record 8
RbHfAlSe3 PBE-GGA relaxed; crystal system = orthorhombic; mass density = 5.5 g/cm3; raw total energy = -61.28 eV for the cell shown; total magnetization = 0.07 μB per formula unit; volume = 315.9 Å³ per cell
1.0
-5.5207 6.3686 0.4120
3.8282 -6.9404 2.8953
7.0368 5.8021 4.6043
Rb Hf Se Al
2 2 6 2
Cartesian
3.2772 -2.2011 3.4327 Rb
2.0671 7.4314 4.4789 Rb
2.6721 2.6151 3.9558 Hf
-0.8463 -0.2859 1.6536 Hf
9.3492 0.1294 6.9431 Se
0.3236 2.0036 2.6482 Se
6.6227 -2.1187 5.1591 Se
-1.2784 7.3490 2.7525 Se
5.0207 3.2267 5.2634 Se
-4.0049 5.1009 0.9685 Se
8.7714 -2.1129 6.2597 Al
-3.4271 7.3432 1.6519 Al